Mn2SnTeO6: relaxed, PBE+U.

The structure in POSCAR format:
```
Mn2SnTeO6
1.0
-4.781 -2.565 1.041
-0.415 -3.427 4.313
-3.122 1.748 4.627
Mn O Sn Te
2 6 1 1
Cartesian
-2.997 1.411 4.371 Mn
-4.061 -2.388 4.789 Mn
-3.824 -1.789 2.721 O
-5.799 -0.852 4.650 O
-2.167 -3.224 5.423 O
-4.729 -2.246 7.010 O
-5.504 -4.002 4.817 O
-3.003 -0.432 5.464 O
-5.971 -3.905 6.938 Sn
-1.828 -1.740 1.980 Te
```

Summary:
space-group type: R3 (146)
VASP energy: -6.59 eV/atom
total magnetization: 10.00 μB per formula unit
crystal system: trigonal
density of states at the Fermi level: 0.00 states/eV per cell